(1)
A relaxed structure of Ba3BiSe, computed with PBE.

Geometry as POSCAR:
```
Ba3BiSe
1.0
-3.2993 -5.1422 -0.9386
3.1294 -1.0541 -5.2253
4.1868 -3.2642 3.1660
Se Bi Ba
1 1 3
Direct
0.0000 0.0000 0.0000
0.5000 0.5000 0.5000
0.5000 0.0000 0.0000
0.0000 0.5000 0.0000
0.0000 0.0000 0.5000
```

Summary:
DOS at the Fermi energy in states/eV per cell: 4.1
Formation energy from raw total energies in eV/f.u.: -5.1
SG: No. 221
Raw total energy in eV/atom: -3.65
Energy above the lowest structure with this stoichiometry in kJ per mole of atoms: 0.0

---

(2)
A relaxed structure of Ba2BiSe2, computed with PBE.

Geometry as POSCAR:
```
Ba2BiSe2
1.0
4.3574 0.0000 0.0000
0.0000 4.3574 0.0000
2.1787 2.1787 9.4020
Se Ba Bi
2 2 1
Direct
0.2500 0.7500 0.5000
0.7500 0.2500 0.5000
0.6178 0.6178 0.7644
0.3822 0.3822 0.2356
0.0000 0.0000 0.0000
```

Summary:
DOS at the Fermi energy in states/eV per cell: 1.9
Formation energy from raw total energies in eV/f.u.: -5.0
SG: No. 139
Raw total energy in eV/atom: -3.94
Energy above the lowest structure with this stoichiometry in kJ per mole of atoms: 31.4

---

(3)
A relaxed structure of Ba2BiSe6, computed with PBE.

Geometry as POSCAR:
```
Ba2BiSe6
1.0
4.9229 0.0000 0.7734
0.0000 8.4507 0.0000
-0.6615 -4.2253 6.8399
Se Ba Bi
6 2 1
Direct
0.1435 0.9250 0.3228
0.1435 0.3978 0.3228
0.8565 0.0750 0.6772
0.5000 0.2224 0.0000
0.8565 0.6022 0.6772
0.5000 0.7776 0.0000
0.3609 0.3329 0.6659
0.6391 0.6671 0.3341
0.0000 0.0000 0.0000
```

Summary:
DOS at the Fermi energy in states/eV per cell: 2.0
Formation energy from raw total energies in eV/f.u.: -8.5
SG: No. 12
Raw total energy in eV/atom: -4.12

---

The lowest raw total energy belongs to which entry?
Ba2BiSe6

---

formation energy from raw total energies of number 2 (Ba2BiSe2)?
-5.0 eV/f.u.